1.
A relaxed structure of CrNi4Os. Source: Alexandria, functional PBE-GGA.

Results
For the energy above the most stable polymorph in this dataset, the calculation gives 0.133 eV/atom. The calculated total energy comes out at -43.06 eV per cell. As for the formation energy: 15 kJ/mol of atoms.

a = 4.644 Å, b = 4.644 Å, c = 4.644 Å
α = 60.00°, β = 60.00°, γ = 60.00°
Element x y z (fractional)
Cr: 0.000 0.000 0.000
Ni: 0.125 0.625 0.625
Ni: 0.625 0.125 0.625
Ni: 0.625 0.625 0.125
Ni: 0.625 0.625 0.625
Os: 0.250 0.250 0.250

=====

2.
A relaxed structure of CrNiOs4. Source: Alexandria, functional PBE-GGA.

Results
The calculated total energy comes out at -55.73 eV per cell. As for the formation energy: 74 kJ/mol of atoms.

a = 5.090 Å, b = 5.090 Å, c = 5.090 Å
α = 60.00°, β = 60.00°, γ = 60.00°
Element x y z (fractional)
Cr: 0.000 0.000 0.000
Ni: 0.250 0.250 0.250
Os: 0.125 0.625 0.625
Os: 0.625 0.125 0.625
Os: 0.625 0.625 0.125
Os: 0.625 0.625 0.625

=====

3.
A relaxed structure of Cr2Ni6Os. Source: Alexandria, functional PBE-GGA.

Results
The calculated total energy comes out at -64.97 eV per cell. As for the formation energy: 2 kJ/mol of atoms.

a = 5.693 Å, b = 5.693 Å, c = 5.603 Å
α = 107.49°, β = 107.49°, γ = 36.49°
Element x y z (fractional)
Cr: 0.058 0.058 0.337
Cr: 0.942 0.942 0.663
Ni: 0.167 0.167 0.000
Ni: 0.277 0.277 0.661
Ni: 0.390 0.390 0.337
Ni: 0.610 0.610 0.663
Ni: 0.723 0.723 0.339
Ni: 0.833 0.833 0.000
Os: 0.500 0.500 0.000